# VSF2

A geometry-optimized VSF2 structure (GGA+U, the Alexandria database).

Cell: 4.160 4.160 4.160 Å, 60.00 60.00 60.00°
Each line ends with the local moment (μB).
Atoms (fractional coordinates):
S: 0.000 0.000 0.000  -0.80
V: 0.500 0.500 0.500  2.40
F: 0.250 0.250 0.250  -0.21
F: 0.750 0.750 0.750  -0.21

Computed properties:
M_tot, μB per cell: 1.00
E_tot, eV per formula unit: -17.54
Energy above the lowest structure with this stoichiometry, meV/atom: 871
Space group: Fm-3m (225)